Below is a relaxed structure of La2Tm6Mg, with properties calculated at the PBE level.

Properties
Space-group type: Pnnm (58)
E in eV per atom: -4.1704
Formation energy from the elements in eV/atom: 0.08

```
La2Tm6Mg
1.0
9.945 0.000 0.000
0.000 10.281 0.000
0.000 0.000 5.435
La Tm Mg
4 12 2
direct
0.190 0.235 0.000
0.310 0.735 0.500
0.690 0.265 0.500
0.810 0.765 0.000
0.015 0.330 0.500
0.144 0.887 0.000
0.171 0.559 0.000
0.329 0.059 0.500
0.356 0.387 0.500
0.485 0.830 0.000
0.515 0.170 0.000
0.644 0.613 0.500
0.671 0.941 0.500
0.829 0.441 0.000
0.856 0.113 0.000
0.985 0.670 0.500
0.000 0.000 0.500
0.500 0.500 0.000
```



Below is a relaxed structure of La2MgBi5, with properties calculated at the PBE level.

Properties
Space-group type: Pbam (55)
E in eV per atom: -4.4289
Formation energy from the elements in eV/atom: -0.57

```
La2MgBi5
1.0
9.265 0.000 0.000
0.000 10.332 0.000
0.000 0.000 5.146
La Mg Bi
4 2 10
direct
0.001 0.220 0.000
0.499 0.720 0.000
0.501 0.280 0.000
0.999 0.780 0.000
0.000 0.500 0.500
0.500 0.000 0.500
0.000 0.000 0.500
0.216 0.500 0.000
0.249 0.749 0.500
0.251 0.249 0.500
0.284 0.000 0.000
0.500 0.500 0.500
0.716 0.000 0.000
0.749 0.751 0.500
0.751 0.251 0.500
0.784 0.500 0.000
```



Below is a relaxed structure of Ce2Zn10Cd, with properties calculated at the PBE level.

Properties
Space-group type: Pbam (55)
E in eV per atom: -1.9533
Formation energy from the elements in eV/atom: 0.01

```
Ce2Zn10Cd
1.0
7.632 0.000 0.000
0.000 12.697 0.000
0.000 0.000 5.535
Ce Zn Cd
4 20 2
direct
0.238 0.094 0.000
0.262 0.594 0.000
0.738 0.406 0.000
0.762 0.906 0.000
0.018 0.669 0.500
0.161 0.489 0.500
0.164 0.184 0.500
0.171 0.836 0.229
0.171 0.836 0.771
0.329 0.336 0.229
0.329 0.336 0.771
0.336 0.684 0.500
0.339 0.989 0.500
0.482 0.169 0.500
0.518 0.831 0.500
0.661 0.011 0.500
0.664 0.316 0.500
0.671 0.664 0.229
0.671 0.664 0.771
0.829 0.164 0.229
0.829 0.164 0.771
0.836 0.816 0.500
0.839 0.511 0.500
0.982 0.331 0.500
0.000 0.000 0.500
0.500 0.500 0.500
```



Below is a relaxed structure of La2CeGa6, with properties calculated at the PBE level.

Properties
Space-group type: Immm (71)
E in eV per atom: -4.1786
Formation energy from the elements in eV/atom: -0.41

```
La2CeGa6
1.0
-2.237 3.671 6.888
2.237 -3.671 6.888
2.237 3.671 -6.888
La Ce Ga
2 1 6
direct
0.136 0.136 0.000
0.864 0.864 0.000
0.500 0.000 0.500
0.146 0.330 0.817
0.183 0.500 0.683
0.487 0.670 0.817
0.513 0.330 0.183
0.817 0.500 0.317
0.854 0.670 0.183
```



Below is a relaxed structure of CaZr2Ni, with properties calculated at the PBE level.

Properties
Space-group type: Pmmm (47)
E in eV per atom: -5.9390
Formation energy from the elements in eV/atom: 0.28

```
CaZr2Ni
1.0
3.603 0.000 0.000
0.000 4.621 0.000
0.000 0.000 5.184
Ca Zr Ni
1 2 1
direct
0.000 0.000 0.000
0.000 0.500 0.500
0.500 0.000 0.500
0.500 0.500 0.000
```



Below is a relaxed structure of TmLuZnPd, with properties calculated at the PBE level.

Properties
Space-group type: F-43m (216)
E in eV per atom: -4.5111
Formation energy from the elements in eV/atom: -0.65

```
TmLuZnPd
1.0
6.955 0.000 0.000
0.000 6.955 0.000
0.000 0.000 6.955
Tm Lu Zn Pd
4 4 4 4
direct
0.000 0.000 0.000
0.000 0.500 0.500
0.500 0.000 0.500
0.500 0.500 0.000
0.000 0.000 0.500
0.000 0.500 0.000
0.500 0.000 0.000
0.500 0.500 0.500
0.250 0.250 0.250
0.250 0.750 0.750
0.750 0.250 0.750
0.750 0.750 0.250
0.250 0.250 0.750
0.250 0.750 0.250
0.750 0.250 0.250
0.750 0.750 0.750
```